(1)
The following is a PBE-GGA calculation of an optimized crystal structure of PmDyTm2, from Alexandria via LeMat-Bulk.

abc: 6.694 6.694 6.694
angles: 148.61 65.29 124.36
Sites, in units of the cell vectors:
Pm (0.000, 0.000, 0.000)
Dy (0.503, 0.003, 0.500)
Tm (0.086, 0.335, 0.751)
Tm (0.584, 0.335, 0.249)

## Properties
ΔH_f (0 K) ... 0.0169 eV/atom
Offset from the most stable computed form ... 0.0000 eV per atom
E_tot ... -18.23 eV for the cell shown



(2)
The following is a PBE-GGA calculation of an optimized crystal structure of PmDy2Tm12, from Alexandria via LeMat-Bulk.

abc: 3.574 5.602 23.243
angles: 90.00 94.40 90.00
Sites, in units of the cell vectors:
Pm (0.000, 0.000, 0.000)
Dy (0.140, 0.000, 0.286)
Dy (0.860, 0.000, 0.714)
Tm (0.094, 0.500, 0.194)
Tm (0.220, 0.500, 0.443)
Tm (0.289, 0.000, 0.574)
Tm (0.341, 0.500, 0.677)
Tm (0.428, 0.000, 0.851)
Tm (0.469, 0.500, 0.932)
Tm (0.531, 0.500, 0.068)
Tm (0.572, 0.000, 0.149)
Tm (0.659, 0.500, 0.323)
Tm (0.711, 0.000, 0.426)
Tm (0.780, 0.500, 0.557)
Tm (0.906, 0.500, 0.806)

## Properties
ΔH_f (0 K) ... 0.0719 eV/atom
E_tot ... -66.54 eV for the cell shown



(3)
The following is a PBE-GGA calculation of an optimized crystal structure of Pm2Dy9Tm, from Alexandria via LeMat-Bulk.

abc: 5.028 5.028 15.082
angles: 90.00 90.00 90.00
Sites, in units of the cell vectors:
Pm (0.000, 0.000, 0.168)
Pm (0.000, 0.000, 0.832)
Dy (0.000, 0.500, 0.000)
Dy (0.000, 0.500, 0.336)
Dy (0.000, 0.500, 0.664)
Dy (0.500, 0.000, 0.000)
Dy (0.500, 0.000, 0.336)
Dy (0.500, 0.000, 0.664)
Dy (0.500, 0.500, 0.168)
Dy (0.500, 0.500, 0.500)
Dy (0.500, 0.500, 0.832)
Tm (0.000, 0.000, 0.500)

## Properties
ΔH_f (0 K) ... 0.0215 eV/atom
Offset from the most stable computed form ... 0.0000 eV per atom
E_tot ... -55.13 eV for the cell shown



(4)
The following is a PBE-GGA calculation of an optimized crystal structure of Pm3Dy8Tm3, from Alexandria via LeMat-Bulk.

abc: 9.626 9.626 9.626
angles: 146.02 111.98 78.25
Sites, in units of the cell vectors:
Pm (0.000, 0.000, 0.000)
Pm (0.182, 0.682, 0.500)
Pm (0.818, 0.318, 0.500)
Dy (0.119, 0.279, 0.840)
Dy (0.239, 0.897, 0.342)
Dy (0.439, 0.279, 0.160)
Dy (0.444, 0.103, 0.342)
Dy (0.556, 0.897, 0.658)
Dy (0.561, 0.721, 0.840)
Dy (0.761, 0.103, 0.658)
Dy (0.881, 0.721, 0.160)
Tm (0.204, 0.500, 0.704)
Tm (0.500, 0.500, 0.000)
Tm (0.796, 0.500, 0.296)

## Properties
ΔH_f (0 K) ... 0.1087 eV/atom
E_tot ... -62.96 eV for the cell shown



(5)
The following is a PBE-GGA calculation of an optimized crystal structure of Pm2DyTm12, from Alexandria via LeMat-Bulk.

abc: 6.580 6.580 23.860
angles: 92.30 92.30 114.87
Sites, in units of the cell vectors:
Pm (0.069, 0.069, 0.280)
Pm (0.431, 0.431, 0.719)
Pm (0.569, 0.569, 0.281)
Pm (0.931, 0.931, 0.720)
Dy (0.250, 0.250, 0.000)
Dy (0.750, 0.750, 0.000)
Tm (0.034, 0.034, 0.134)
Tm (0.048, 0.548, 0.192)
Tm (0.082, 0.582, 0.330)
Tm (0.139, 0.638, 0.555)
Tm (0.143, 0.143, 0.572)
Tm (0.233, 0.732, 0.934)
Tm (0.268, 0.767, 0.066)
Tm (0.356, 0.356, 0.428)
Tm (0.362, 0.861, 0.445)
Tm (0.418, 0.918, 0.670)
Tm (0.452, 0.952, 0.808)
Tm (0.466, 0.466, 0.865)
Tm (0.534, 0.534, 0.135)
Tm (0.548, 0.048, 0.192)
Tm (0.582, 0.082, 0.330)
Tm (0.638, 0.139, 0.555)
Tm (0.644, 0.644, 0.572)
Tm (0.732, 0.233, 0.934)
Tm (0.767, 0.268, 0.066)
Tm (0.857, 0.857, 0.428)
Tm (0.861, 0.362, 0.445)
Tm (0.918, 0.418, 0.670)
Tm (0.952, 0.452, 0.808)
Tm (0.966, 0.966, 0.866)

## Properties
ΔH_f (0 K) ... 0.1077 eV/atom
E_tot ... -132.29 eV for the cell shown



(6)
The following is a PBE-GGA calculation of an optimized crystal structure of Pm2Dy3Tm5, from Alexandria via LeMat-Bulk.

abc: 9.802 9.802 9.802
angles: 123.24 93.49 113.01
Sites, in units of the cell vectors:
Pm (0.120, 0.108, 0.228)
Pm (0.380, 0.608, 0.988)
Pm (0.620, 0.392, 0.012)
Pm (0.880, 0.892, 0.772)
Dy (0.130, 0.755, 0.885)
Dy (0.250, 0.250, 0.000)
Dy (0.370, 0.255, 0.624)
Dy (0.630, 0.745, 0.376)
Dy (0.750, 0.750, 0.000)
Dy (0.870, 0.245, 0.115)
Tm (0.000, 0.250, 0.750)
Tm (0.000, 0.750, 0.250)
Tm (0.122, 0.419, 0.541)
Tm (0.250, 0.750, 0.500)
Tm (0.378, 0.919, 0.297)
Tm (0.500, 0.250, 0.250)
Tm (0.500, 0.750, 0.750)
Tm (0.622, 0.081, 0.703)
Tm (0.750, 0.250, 0.500)
Tm (0.878, 0.581, 0.459)

## Properties
ΔH_f (0 K) ... 0.4211 eV/atom
Offset from the most stable computed form ... 0.2243 eV per atom
E_tot ... -82.91 eV for the cell shown